Entry 1:
4
Lattice="4.9707 0.0000 0.0000 2.4854 4.3048 0.0000 2.4854 1.4349 4.0586" Properties=species:S:1:pos:R:3 comment="SmTmZn2, PBEsol geometry, DFT SCAN" crystal_system=cubic magnetic_moment_mub_per_fu=0.00 dos_ef_per_ev_cell=4.387 space_group="Fm-3m (225)" total_energy_ev_per_atom=-31.23 pbc="T T T"
Tm 0.0000 0.0000 0.0000
Sm 4.9707 2.8698 2.0293
Zn 2.4854 1.4349 1.0146
Zn 7.4561 4.3048 3.0439



Entry 2:
4
Lattice="-1.6190 -2.5800 3.9272 3.8364 -3.1242 -0.4709 1.6026 5.7281 1.2790" Properties=species:S:1:pos:R:3 comment="SmY3, PBEsol geometry, DFT SCAN" crystal_system=tetragonal magnetic_moment_mub_per_fu=0.00 dos_ef_per_ev_cell=5.414 space_group="I4/mmm (139)" total_energy_ev_per_atom=-31.95 pbc="T T T"
Y 0.5461 0.1480 3.4672
Sm 0.0000 0.0000 0.0000
Y 3.2738 -0.1241 1.2681
Y 1.1087 -2.8521 1.7282



Entry 3:
4
Lattice="4.9681 0.0000 0.0000 0.0000 4.9681 0.0000 0.0000 0.0000 4.9681" Properties=species:S:1:pos:R:3 comment="SmY3, PBEsol geometry, DFT SCAN" crystal_system=cubic magnetic_moment_mub_per_fu=0.00 dos_ef_per_ev_cell=5.392 space_group="Pm-3m (221)" total_energy_ev_per_atom=-31.95 pbc="T T T"
Y 0.0000 2.4841 2.4841
Y 2.4841 2.4841 0.0000
Y 2.4841 0.0000 2.4841
Sm 0.0000 0.0000 0.0000